No. 1
A plane-wave DFT calculation with PBE-GGA was carried out for crystalline Zr5Bi2H2 at its relaxed geometry.

Cell: 5.8340 5.8340 7.9685 Å, 97.85 97.85 39.35°
Positions (direct):
Zr  0.0000  0.0000  0.0000
Zr  0.1347  0.1347  0.4443
Zr  0.2962  0.2962  0.8567
Zr  0.7038  0.7038  0.1433
Zr  0.8653  0.8653  0.5557
Bi  0.4231  0.4231  0.2673
Bi  0.5769  0.5769  0.7327
H  0.1496  0.1496  0.1866
H  0.8504  0.8504  0.8134

Computed properties:
* size of the total moment: 0.000 μB/f.u.
* distance to the lowest polymorph of the same formula: 0.18 kcal/mol of atoms
* crystal system: monoclinic
* total energy: -6.69 eV per atom
* D(E_F): 5.624 states/eV/cell



No. 2
A plane-wave DFT calculation with PBE-GGA was carried out for crystalline Cs2PuPbI6 at its relaxed geometry.

Cell: 8.9793 12.7735 9.1076 Å, 90.00 90.00 90.00°
Positions (direct):
Cs  0.2500  0.0233  0.2233
Cs  0.2500  0.4767  0.2233
Cs  0.7500  0.5233  0.7767
Cs  0.7500  0.9767  0.7767
Pu  0.2500  0.7500  0.7601
Pu  0.7500  0.2500  0.2399
Pb  0.2500  0.2500  0.7366
Pb  0.7500  0.7500  0.2634
I  0.0048  0.7500  0.0095
I  0.0065  0.2500  0.4756
I  0.2500  0.5030  0.7646
I  0.2500  0.9970  0.7646
I  0.4935  0.2500  0.4756
I  0.4952  0.7500  0.0095
I  0.5048  0.2500  0.9905
I  0.5065  0.7500  0.5244
I  0.7500  0.0030  0.2354
I  0.7500  0.4970  0.2354
I  0.9935  0.7500  0.5244
I  0.9952  0.2500  0.9905

Computed properties:
* size of the total moment: 6.006 μB/f.u.
* raw formation energy: -1105 meV per atom
* crystal system: orthorhombic
* total energy: -4.01 eV per atom
* D(E_F): 41.933 states/eV/cell



No. 3
A plane-wave DFT calculation with PBE-GGA was carried out for crystalline MnInCo2 at its relaxed geometry.

Cell: 8.2886 8.2886 8.2886 Å, 19.68 19.68 19.68°
Positions (direct):
Mn  0.0000  0.0000  0.0000
In  0.5000  0.5000  0.5000
Co  0.2571  0.2571  0.2571
Co  0.7429  0.7429  0.7429

Computed properties:
* size of the total moment: 5.317 μB/f.u.
* energy of formation from the pure elements: 0.363 eV per atom
* crystal system: trigonal
* total energy: -6.17 eV per atom
* D(E_F): 3.505 states/eV/cell